The following is a DFT calculation (PBE-GGA) of a relaxed structure of Ti2NbIr2.

Mass density, g cm⁻³: 11.666
Energy relative to the lowest polymorph listed for this composition, meV/atom: 11
Crystal system: tetragonal
Volume, Å³/cell: 163
Uncorrected energy, eV/atom: -9.26

Unit cell a=7.4546 b=7.4546 c=2.9358 alpha=90.00 beta=90.00 gamma=90.00
Element x y z (fractional)
Ti: 0.1620 0.3380 0.0000
Ti: 0.3380 0.8380 0.0000
Ti: 0.6620 0.1620 0.0000
Ti: 0.8380 0.6620 0.0000
Nb: 0.0000 0.0000 0.5000
Nb: 0.5000 0.5000 0.5000
Ir: 0.1349 0.6349 0.5000
Ir: 0.3651 0.1349 0.5000
Ir: 0.6349 0.8651 0.5000
Ir: 0.8651 0.3651 0.5000

---

The following is a DFT calculation (PBE-GGA) of a relaxed structure of Li2ErAsO4.

Mass density, g cm⁻³: 5.800
Crystal system: tetragonal
Volume, Å³/cell: 92
Formation energy without anion corrections, eV per formula unit: -17.00
Uncorrected energy, eV/atom: -6.23

Unit cell a=5.6486 b=5.6486 c=5.6486 alpha=134.03 beta=134.03 gamma=67.04
Element x y z (fractional)
Li: 0.0000 0.0000 0.0000
Li: 0.7500 0.2500 0.5000
Er: 0.2500 0.7500 0.5000
As: 0.5000 0.5000 0.0000
O: 0.0078 0.5078 0.5000
O: 0.2693 0.2693 0.0000
O: 0.4922 0.9922 0.5000
O: 0.7307 0.7307 0.0000

---

The following is a DFT calculation (PBE-GGA) of a relaxed structure of Ca8IrRh2.

Mass density, g cm⁻³: 3.723
Crystal system: monoclinic
Volume, Å³/cell: 321
Uncorrected energy, eV/atom: -3.87

Unit cell a=7.7459 b=7.7459 c=6.1865 alpha=101.19 beta=101.19 gamma=112.77
Element x y z (fractional)
Ca: 0.0000 0.0000 0.0000
Ca: 0.0162 0.2786 0.6208
Ca: 0.1593 0.5722 0.2131
Ca: 0.2786 0.0162 0.6208
Ca: 0.4279 0.6963 0.8220
Ca: 0.5722 0.1593 0.2131
Ca: 0.6963 0.4279 0.8220
Ca: 0.7036 0.7036 0.3883
Ir: 0.3603 0.3603 0.0098
Rh: 0.0266 0.6562 0.6814
Rh: 0.6562 0.0266 0.6814

---

The following is a DFT calculation (PBE-GGA) of a relaxed structure of AcTbTeBr.

Mass density, g cm⁻³: 8.482
Crystal system: cubic
Volume, Å³/cell: 116
Formation energy without anion corrections, eV per formula unit: -4.41
Uncorrected energy, eV/atom: -4.49

Unit cell a=5.4769 b=5.4769 c=5.4769 alpha=60.00 beta=60.00 gamma=60.00
Element x y z (fractional)
Ac: 0.0000 0.0000 0.0000
Tb: 0.5000 0.5000 0.5000
Te: 0.7500 0.7500 0.7500
Br: 0.2500 0.2500 0.2500

---

The following is a DFT calculation (PBE-GGA) of a relaxed structure of AcHgClO2.

Mass density, g cm⁻³: 5.868
Crystal system: monoclinic
Volume, Å³/cell: 280
Formation energy without anion corrections, eV per formula unit: -8.58
Uncorrected energy, eV/atom: -4.95

Unit cell a=7.1421 b=4.5522 c=8.7503 alpha=90.00 beta=100.01 gamma=90.00
Element x y z (fractional)
Ac: 0.1977 0.2500 0.4282
Ac: 0.8023 0.7500 0.5718
Hg: 0.1666 0.7500 0.9352
Hg: 0.8334 0.2500 0.0648
Cl: 0.4699 0.7500 0.3095
Cl: 0.5301 0.2500 0.6905
O: 0.0353 0.7500 0.3721
O: 0.1504 0.7500 0.5351
O: 0.8496 0.2500 0.4649
O: 0.9647 0.2500 0.6279

---

The following is a DFT calculation (PBE-GGA) of a relaxed structure of NaLi2Cd2.

Mass density, g cm⁻³: 3.966
Energy relative to the lowest polymorph listed for this composition, meV/atom: 0
Crystal system: tetragonal
Volume, Å³/cell: 219
Uncorrected energy, eV/atom: -1.54

Unit cell a=8.3604 b=8.3604 c=3.1350 alpha=90.00 beta=90.00 gamma=90.00
Element x y z (fractional)
Na: 0.0000 0.0000 0.0000
Na: 0.5000 0.5000 0.0000
Li: 0.1638 0.3362 0.5000
Li: 0.3362 0.8362 0.5000
Li: 0.6638 0.1638 0.5000
Li: 0.8362 0.6638 0.5000
Cd: 0.1314 0.6314 0.0000
Cd: 0.3686 0.1314 0.0000
Cd: 0.6314 0.8686 0.0000
Cd: 0.8686 0.3686 0.0000

---

The following is a DFT calculation (PBE-GGA) of a relaxed structure of Ti3ZnSe.

Mass density, g cm⁻³: 4.726
Energy relative to the lowest polymorph listed for this composition, meV/atom: 0
Crystal system: cubic
Volume, Å³/cell: 101
Formation energy without anion corrections, eV per formula unit: 0.55
Uncorrected energy, eV/atom: -5.58

Unit cell a=4.6598 b=4.6598 c=4.6598 alpha=90.00 beta=90.00 gamma=90.00
Element x y z (fractional)
Ti: 0.0000 0.0000 0.5000
Ti: 0.0000 0.5000 0.0000
Ti: 0.5000 0.0000 0.0000
Zn: 0.5000 0.5000 0.5000
Se: 0.0000 0.0000 0.0000

---

The following is a DFT calculation (PBE-GGA) of a relaxed structure of Rb3CeNp2O9.

Mass density, g cm⁻³: 6.783
Crystal system: trigonal
Volume, Å³/cell: 248
Formation energy without anion corrections, eV per formula unit: -40.46
Uncorrected energy, eV/atom: -7.99

Unit cell a=6.1629 b=6.1629 c=7.5505 alpha=90.00 beta=90.00 gamma=120.00
Element x y z (fractional)
Rb: 0.0000 0.0000 0.0000
Rb: 0.3333 0.6667 0.6646
Rb: 0.6667 0.3333 0.3354
Ce: 0.0000 0.0000 0.5000
Np: 0.3333 0.6667 0.1637
Np: 0.6667 0.3333 0.8363
O: 0.0000 0.5000 0.0000
O: 0.1743 0.3486 0.3230
O: 0.1743 0.8257 0.3230
O: 0.3486 0.1743 0.6770
O: 0.5000 0.0000 0.0000
O: 0.5000 0.5000 0.0000
O: 0.6514 0.8257 0.3230
O: 0.8257 0.1743 0.6770
O: 0.8257 0.6514 0.6770

---

The following is a DFT calculation (PBE-GGA) of a relaxed structure of Sc2FeAs.

Mass density, g cm⁻³: 5.085
Crystal system: orthorhombic
Volume, Å³/cell: 72
Uncorrected energy, eV/atom: -7.12

Unit cell a=3.8951 b=5.3506 c=5.3506 alpha=40.26 beta=90.00 gamma=90.00
Element x y z (fractional)
Sc: 0.0000 0.0000 0.0000
Sc: 0.5000 0.2855 0.2855
Fe: 0.0000 0.7260 0.7260
As: 0.5000 0.5706 0.5706

---

The following is a DFT calculation (PBE-GGA) of a relaxed structure of La7Cd2Os2.

Mass density, g cm⁻³: 7.283
Crystal system: orthorhombic
Volume, Å³/cell: 360
Uncorrected energy, eV/atom: -5.50

Unit cell a=7.1402 b=7.1402 c=7.4057 alpha=90.00 beta=90.00 gamma=107.69
Element x y z (fractional)
La: 0.0000 0.0000 0.0000
La: 0.0000 0.5000 0.2491
La: 0.0000 0.5000 0.7509
La: 0.5000 0.0000 0.2491
La: 0.5000 0.0000 0.7509
La: 0.5000 0.5000 0.2393
La: 0.5000 0.5000 0.7607
Cd: 0.1681 0.1681 0.5000
Cd: 0.8319 0.8319 0.5000
Os: 0.2937 0.7063 0.0000
Os: 0.7063 0.2937 0.0000

---

The following is a DFT calculation (PBE-GGA) of a relaxed structure of ErScGaNi.

Mass density, g cm⁻³: 7.116
Energy relative to the lowest polymorph listed for this composition, meV/atom: 0
Crystal system: orthorhombic
Volume, Å³/cell: 79
Uncorrected energy, eV/atom: -5.45

Unit cell a=4.2098 b=5.6369 c=5.6369 alpha=36.46 beta=90.00 gamma=90.00
Element x y z (fractional)
Er: 0.0000 0.0000 0.0000
Sc: 0.5000 0.2819 0.2819
Ga: 0.0000 0.7226 0.7226
Ni: 0.5000 0.5841 0.5841

---

The following is a DFT calculation (PBE-GGA) of a relaxed structure of SnPd2Pt6.

Mass density, g cm⁻³: 17.355
Crystal system: tetragonal
Volume, Å³/cell: 287
Uncorrected energy, eV/atom: -5.84

Unit cell a=8.4611 b=8.4611 c=4.0150 alpha=90.00 beta=90.00 gamma=90.00
Element x y z (fractional)
Sn: 0.0000 0.0000 0.0000
Sn: 0.5000 0.5000 0.5000
Pd: 0.1634 0.1634 0.5000
Pd: 0.3366 0.6634 0.0000
Pd: 0.6634 0.3366 0.0000
Pd: 0.8366 0.8366 0.5000
Pt: 0.0042 0.6660 0.0000
Pt: 0.1660 0.4958 0.5000
Pt: 0.1705 0.8295 0.5000
Pt: 0.3295 0.3295 0.0000
Pt: 0.3340 0.9958 0.0000
Pt: 0.4958 0.1660 0.5000
Pt: 0.5042 0.8340 0.5000
Pt: 0.6660 0.0042 0.0000
Pt: 0.6705 0.6705 0.0000
Pt: 0.8295 0.1705 0.5000
Pt: 0.8340 0.5042 0.5000
Pt: 0.9958 0.3340 0.0000